Record 1
Crystalline TlGaHg at its relaxed geometry, computed with GGA-PBE.

Properties
density of states at the Fermi level: 2.74 states/eV per cell
size of the total moment: 0.00 μB per atom
energy of formation: 1.0 kcal/mol of atoms
V: 25.7 Å³/atom

POSCAR file:
```
TlGaHg
1.0
3.351 0.000 0.000
-0.048 5.923 0.000
-1.401 -2.078 7.770
Tl Ga Hg
2 2 2
direct
0.000 0.000 0.000
0.255 0.594 0.248
0.381 0.990 0.638
0.883 0.606 0.610
0.490 0.448 0.863
0.766 0.146 0.385
```

***

Record 2
Crystalline CeGd3Ru at its relaxed geometry, computed with GGA-PBE.

Properties
density of states at the Fermi level: 14.64 states/eV per cell
size of the total moment: 4.17 μB per atom
energy of formation: 0.6 kcal/mol of atoms
V: 32.3 Å³/atom

POSCAR file:
```
CeGd3Ru
1.0
5.444 0.000 0.000
0.000 5.444 0.000
0.000 0.000 5.444
Ce Gd Ru
1 3 1
direct
0.000 0.000 0.000
0.000 0.500 0.500
0.500 0.000 0.500
0.500 0.500 0.000
0.500 0.500 0.500
```

***

Record 3
Crystalline PmYHoTm at its relaxed geometry, computed with GGA-PBE.

Properties
density of states at the Fermi level: 32.38 states/eV per cell
size of the total moment: 0.00 μB per atom
energy of formation: 2.9 kcal/mol of atoms
V: 32.4 Å³/atom

POSCAR file:
```
PmYHoTm
1.0
8.030 0.000 0.000
0.000 8.030 0.000
0.000 0.000 8.030
Pm Y Ho Tm
4 4 4 4
direct
0.000 0.000 0.000
0.000 0.500 0.500
0.500 0.000 0.500
0.500 0.500 0.000
0.000 0.000 0.500
0.000 0.500 0.000
0.500 0.000 0.000
0.500 0.500 0.500
0.250 0.250 0.250
0.250 0.750 0.750
0.750 0.250 0.750
0.750 0.750 0.250
0.250 0.250 0.750
0.250 0.750 0.250
0.750 0.250 0.250
0.750 0.750 0.750
```

***

Record 4
Crystalline Y2Er3S6 at its relaxed geometry, computed with GGA-PBE.

Properties
density of states at the Fermi level: 3.94 states/eV per cell
size of the total moment: 0.00 μB per atom
ΔE_f (raw): -2.068 eV per atom
V: 22.5 Å³/atom

POSCAR file:
```
Y2Er3S6
1.0
3.368 -5.810 0.000
3.368 5.810 0.000
-2.238 0.000 6.328
Y Er S
2 3 6
direct
0.165 0.835 0.000
0.835 0.165 0.000
0.000 0.000 0.500
0.337 0.663 0.500
0.663 0.337 0.500
0.082 0.415 0.745
0.252 0.252 0.250
0.415 0.082 0.745
0.585 0.918 0.255
0.748 0.748 0.750
0.918 0.585 0.255
```

***

Record 5
Crystalline Pr6P2Se3Br at its relaxed geometry, computed with GGA-PBE.

Properties
density of states at the Fermi level: 4.74 states/eV per cell
size of the total moment: 0.00 μB per atom
ΔE_f (raw): -1.686 eV per atom
V: 27.4 Å³/atom

POSCAR file:
```
Pr6P2Se3Br
1.0
9.253 -2.119 0.000
9.253 2.119 0.000
-1.871 0.000 8.373
Pr P Se Br
6 2 3 1
direct
0.010 0.010 0.274
0.323 0.323 0.890
0.329 0.329 0.426
0.671 0.671 0.574
0.677 0.677 0.110
0.990 0.990 0.726
0.168 0.168 0.335
0.832 0.832 0.665
0.160 0.160 0.837
0.500 0.500 0.500
0.840 0.840 0.163
0.500 0.500 0.000
```

***

Record 6
Crystalline TaFe2Hg at its relaxed geometry, computed with GGA-PBE.

Properties
density of states at the Fermi level: 14.76 states/eV per cell
size of the total moment: 1.14 μB per atom
energy of formation: 10.1 kcal/mol of atoms
V: 15.7 Å³/atom

POSCAR file:
```
TaFe2Hg
1.0
6.312 0.000 0.000
0.000 6.312 0.000
0.000 0.000 6.312
Ta Fe Hg
4 8 4
direct
0.000 0.000 0.000
0.000 0.500 0.500
0.500 0.000 0.500
0.500 0.500 0.000
0.000 0.000 0.500
0.000 0.500 0.000
0.250 0.250 0.750
0.250 0.750 0.250
0.500 0.000 0.000
0.500 0.500 0.500
0.750 0.250 0.250
0.750 0.750 0.750
0.250 0.250 0.250
0.250 0.750 0.750
0.750 0.250 0.750
0.750 0.750 0.250
```

***

Record 7
Crystalline TbY12Ho2 at its relaxed geometry, computed with GGA-PBE.

Properties
density of states at the Fermi level: 51.31 states/eV per cell
size of the total moment: 0.00 μB per atom
energy of formation: 2.8 kcal/mol of atoms
V: 32.6 Å³/atom

POSCAR file:
```
TbY12Ho2
1.0
3.559 -5.573 0.000
3.559 5.573 0.000
-1.775 0.000 24.674
Tb Y Ho
2 24 4
direct
0.249 0.249 0.495
0.751 0.751 0.505
0.056 0.607 0.829
0.058 0.541 0.700
0.126 0.659 0.055
0.185 0.185 0.058
0.215 0.215 0.360
0.232 0.732 0.427
0.268 0.768 0.573
0.283 0.283 0.630
0.339 0.339 0.899
0.341 0.874 0.945
0.393 0.944 0.171
0.459 0.942 0.300
0.541 0.058 0.700
0.607 0.056 0.829
0.659 0.126 0.055
0.661 0.661 0.101
0.717 0.717 0.370
0.732 0.232 0.427
0.768 0.268 0.573
0.785 0.785 0.640
0.815 0.815 0.942
0.874 0.341 0.945
0.942 0.459 0.300
0.944 0.393 0.171
0.079 0.079 0.765
0.448 0.448 0.234
0.552 0.552 0.766
0.921 0.921 0.235
```

***

Record 8
Crystalline CeCdP2 at its relaxed geometry, computed with GGA-PBE.

Properties
size of the total moment: 0.00 μB per atom
energy of formation: -11.5 kcal/mol of atoms
V: 30.7 Å³/atom

POSCAR file:
```
CeCdP2
1.0
4.361 0.000 0.000
-2.180 3.777 0.000
0.000 0.000 22.351
Ce Cd P
3 3 6
direct
0.000 0.000 0.000
0.333 0.667 0.667
0.667 0.333 0.333
0.000 0.000 0.500
0.333 0.667 0.167
0.667 0.333 0.833
0.000 0.000 0.392
0.000 0.000 0.608
0.333 0.667 0.059
0.333 0.667 0.275
0.667 0.333 0.725
0.667 0.333 0.941
```

***

Record 9
Crystalline CoNi2Rh at its relaxed geometry, computed with GGA-PBE.

Properties
density of states at the Fermi level: 11.09 states/eV per cell
size of the total moment: 1.00 μB per atom
energy of formation: 0.9 kcal/mol of atoms
V: 12.0 Å³/atom

POSCAR file:
```
CoNi2Rh
1.0
8.474 0.000 0.000
0.000 2.597 0.000
-0.792 0.000 4.351
Co Ni Rh
2 4 2
direct
0.000 0.000 0.000
0.500 0.500 0.000
0.247 0.500 0.243
0.496 0.000 0.483
0.747 0.000 0.243
0.996 0.500 0.483
0.249 0.000 0.744
0.749 0.500 0.744
```

***

Record 10
Crystalline Ba2LaNpS6 at its relaxed geometry, computed with GGA-PBE.

Properties
density of states at the Fermi level: 15.19 states/eV per cell
size of the total moment: 0.20 μB per atom
ΔE_f (raw): -1.797 eV per atom
V: 29.2 Å³/atom

POSCAR file:
```
Ba2LaNpS6
1.0
7.299 0.000 0.000
0.000 7.623 0.000
-7.238 0.000 10.498
Ba La Np S
4 2 2 12
direct
0.231 0.064 0.250
0.231 0.436 0.750
0.769 0.564 0.250
0.769 0.936 0.750
0.500 0.000 0.000
0.500 0.500 0.500
0.000 0.000 0.500
0.000 0.500 0.000
0.137 0.214 0.948
0.137 0.286 0.448
0.239 0.692 0.952
0.239 0.808 0.452
0.332 0.028 0.738
0.332 0.472 0.238
0.668 0.528 0.762
0.668 0.972 0.262
0.761 0.192 0.548
0.761 0.308 0.048
0.863 0.714 0.552
0.863 0.786 0.052
```

***

Record 11
Crystalline Eu2BiSb at its relaxed geometry, computed with GGA-PBE.

Properties
density of states at the Fermi level: 9.22 states/eV per cell
size of the total moment: 3.47 μB per atom
ΔE_f (raw): -0.824 eV per atom
V: 31.6 Å³/atom

POSCAR file:
```
Eu2BiSb
1.0
3.800 0.000 0.000
0.000 3.800 0.000
0.000 0.000 8.750
Eu Bi Sb
2 1 1
direct
0.000 0.000 0.236
0.000 0.000 0.764
0.500 0.500 0.500
0.500 0.500 0.000
```

***

Record 12
Crystalline YPPdS2 at its relaxed geometry, computed with GGA-PBE.

Properties
density of states at the Fermi level: 6.70 states/eV per cell
size of the total moment: 0.11 μB per atom
ΔE_f (raw): 0.371 eV per atom
V: 28.4 Å³/atom

POSCAR file:
```
YPPdS2
1.0
5.140 0.000 0.000
0.000 5.140 0.000
0.000 0.000 5.370
Y P Pd S
1 1 1 2
direct
0.000 0.000 0.000
0.000 0.000 0.500
0.500 0.500 0.500
0.000 0.500 0.000
0.500 0.000 0.000
```

***

Record 13
Crystalline Cd7GaAg3 at its relaxed geometry, computed with GGA-PBE.

Properties
density of states at the Fermi level: 3.46 states/eV per cell
size of the total moment: 0.00 μB per atom
energy of formation: 0.9 kcal/mol of atoms
V: 21.6 Å³/atom

POSCAR file:
```
Cd7GaAg3
1.0
6.158 0.000 0.000
-3.079 5.333 0.000
0.000 0.000 7.239
Cd Ga Ag
7 1 3
direct
0.000 0.000 0.000
0.003 0.501 0.997
0.170 0.339 0.361
0.170 0.830 0.361
0.499 0.501 0.997
0.499 0.997 0.997
0.661 0.830 0.361
0.667 0.333 0.363
0.337 0.168 0.675
0.832 0.168 0.675
0.832 0.663 0.675
```

***

Record 14
Crystalline Y3CdO at its relaxed geometry, computed with GGA-PBE.

Properties
density of states at the Fermi level: 7.45 states/eV per cell
size of the total moment: 0.00 μB per atom
ΔE_f (raw): -1.235 eV per atom
V: 24.6 Å³/atom

POSCAR file:
```
Y3CdO
1.0
6.957 0.000 0.000
0.000 5.101 0.000
-1.516 0.000 6.937
Y Cd O
6 2 2
direct
0.062 0.250 0.379
0.183 0.250 0.911
0.369 0.750 0.319
0.631 0.250 0.681
0.817 0.750 0.089
0.938 0.750 0.621
0.406 0.750 0.790
0.594 0.250 0.210
0.054 0.750 0.351
0.946 0.250 0.649
```

***

Record 15
Crystalline Hf2TiPb2 at its relaxed geometry, computed with GGA-PBE.

Properties
density of states at the Fermi level: 11.11 states/eV per cell
size of the total moment: 0.00 μB per atom
energy of formation: 2.6 kcal/mol of atoms
V: 22.7 Å³/atom

POSCAR file:
```
Hf2TiPb2
1.0
7.528 0.000 0.000
0.000 7.528 0.000
0.000 0.000 4.012
Hf Ti Pb
4 2 4
direct
0.160 0.340 0.000
0.340 0.840 0.000
0.660 0.160 0.000
0.840 0.660 0.000
0.000 0.000 0.500
0.500 0.500 0.500
0.145 0.645 0.500
0.355 0.145 0.500
0.645 0.855 0.500
0.855 0.355 0.500
```

***

Record 16
Crystalline Sm2Dy3Pb at its relaxed geometry, computed with GGA-PBE.

Properties
density of states at the Fermi level: 12.87 states/eV per cell
size of the total moment: 0.00 μB per atom
energy of formation: -4.1 kcal/mol of atoms
V: 30.7 Å³/atom

POSCAR file:
```
Sm2Dy3Pb
1.0
4.882 0.000 0.000
0.000 15.287 0.000
0.000 0.000 4.943
Sm Dy Pb
4 6 2
direct
0.000 0.162 0.000
0.000 0.838 0.000
0.500 0.338 0.000
0.500 0.662 0.000
0.000 0.000 0.500
0.000 0.333 0.500
0.000 0.667 0.500
0.500 0.167 0.500
0.500 0.500 0.500
0.500 0.833 0.500
0.000 0.500 0.000
0.500 0.000 0.000
```

***

Record 17
Crystalline NaTc2Mo at its relaxed geometry, computed with GGA-PBE.

Properties
density of states at the Fermi level: 18.24 states/eV per cell
size of the total moment: 0.00 μB per atom
energy of formation: 25.8 kcal/mol of atoms
V: 17.7 Å³/atom

POSCAR file:
```
NaTc2Mo
1.0
7.188 0.000 0.000
0.000 7.188 0.000
0.000 0.000 5.495
Na Tc Mo
4 8 4
direct
0.000 0.000 0.000
0.000 0.500 0.250
0.500 0.000 0.750
0.500 0.500 0.500
0.211 0.250 0.625
0.250 0.711 0.875
0.250 0.789 0.375
0.289 0.250 0.125
0.711 0.750 0.125
0.750 0.211 0.375
0.750 0.289 0.875
0.789 0.750 0.625
0.000 0.000 0.500
0.000 0.500 0.750
0.500 0.000 0.250
0.500 0.500 0.000
```

***

Record 18
Crystalline BaRuCl at its relaxed geometry, computed with GGA-PBE.

Properties
density of states at the Fermi level: 10.07 states/eV per cell
size of the total moment: 0.97 μB per atom
ΔE_f (raw): 0.289 eV per atom
V: 31.0 Å³/atom

POSCAR file:
```
BaRuCl
1.0
7.192 0.000 0.000
0.000 7.192 0.000
0.000 0.000 7.192
Ba Ru Cl
4 4 4
direct
0.000 0.000 0.000
0.000 0.500 0.500
0.500 0.000 0.500
0.500 0.500 0.000
0.000 0.000 0.500
0.000 0.500 0.000
0.500 0.000 0.000
0.500 0.500 0.500
0.250 0.250 0.750
0.250 0.750 0.250
0.750 0.250 0.250
0.750 0.750 0.750
```

***

Record 19
Crystalline Nb2AlOs at its relaxed geometry, computed with GGA-PBE.

Properties
density of states at the Fermi level: 2.80 states/eV per cell
size of the total moment: 0.00 μB per atom
energy of formation: -4.9 kcal/mol of atoms
V: 16.4 Å³/atom

POSCAR file:
```
Nb2AlOs
1.0
4.007 0.000 0.000
0.000 4.007 0.000
0.000 0.000 4.079
Nb Al Os
2 1 1
direct
0.000 0.500 0.000
0.500 0.000 0.000
0.000 0.000 0.500
0.500 0.500 0.500
```

***

Record 20
Crystalline Ac6Hg3RuRh2 at its relaxed geometry, computed with GGA-PBE.

Properties
density of states at the Fermi level: 8.75 states/eV per cell
size of the total moment: 0.00 μB per atom
energy of formation: -11.6 kcal/mol of atoms
V: 33.1 Å³/atom

POSCAR file:
```
Ac6Hg3RuRh2
1.0
3.715 -6.441 0.000
3.715 6.441 0.000
-2.475 0.000 8.297
Ac Hg Ru Rh
6 3 1 2
direct
0.066 0.395 0.197
0.262 0.262 0.799
0.395 0.066 0.197
0.605 0.934 0.803
0.738 0.738 0.201
0.934 0.605 0.803
0.172 0.828 0.500
0.500 0.500 0.500
0.828 0.172 0.500
0.000 0.000 0.000
0.334 0.666 0.000
0.666 0.334 0.000
```

***

Record 21
Crystalline GeOsSeN2 at its relaxed geometry, computed with GGA-PBE.

Properties
density of states at the Fermi level: 2.56 states/eV per cell
size of the total moment: 0.00 μB per atom
ΔE_f (raw): 0.649 eV per atom
V: 15.9 Å³/atom

POSCAR file:
```
GeOsSeN2
1.0
3.846 0.000 0.000
0.000 3.846 0.000
0.000 0.000 5.384
Ge Os Se N
1 1 1 2
direct
0.000 0.000 0.000
0.500 0.500 0.500
0.500 0.500 0.000
0.000 0.500 0.500
0.500 0.000 0.500
```

***

Record 22
Crystalline Pu2AgTe3 at its relaxed geometry, computed with GGA-PBE.

Properties
density of states at the Fermi level: 40.70 states/eV per cell
size of the total moment: 1.83 μB per atom
ΔE_f (raw): -0.768 eV per atom
V: 30.5 Å³/atom

POSCAR file:
```
Pu2AgTe3
1.0
4.464 0.000 0.000
0.000 6.221 0.000
0.000 0.000 13.160
Pu Ag Te
4 2 6
direct
0.000 0.000 0.166
0.000 0.000 0.834
0.500 0.500 0.334
0.500 0.500 0.666
0.000 0.000 0.500
0.500 0.500 0.000
0.000 0.500 0.167
0.000 0.500 0.500
0.000 0.500 0.833
0.500 0.000 0.000
0.500 0.000 0.333
0.500 0.000 0.667
```

***

Record 23
Crystalline CaCoW2 at its relaxed geometry, computed with GGA-PBE.

Properties
density of states at the Fermi level: 8.82 states/eV per cell
size of the total moment: 0.00 μB per atom
energy of formation: 19.4 kcal/mol of atoms
V: 17.0 Å³/atom

POSCAR file:
```
CaCoW2
1.0
3.787 0.000 0.000
0.000 3.787 0.000
0.000 0.000 9.506
Ca Co W
2 2 4
direct
0.000 0.000 0.000
0.500 0.500 0.500
0.000 0.000 0.500
0.500 0.500 0.000
0.000 0.500 0.250
0.000 0.500 0.750
0.500 0.000 0.250
0.500 0.000 0.750
```